# 1
First-principles (PBE-GGA) data for crystalline NaSmO2 at its relaxed geometry, as listed in the Alexandria database.

abc: 3.506 3.506 6.269
angles: 73.76 73.76 60.00
Positions (direct):
O: 0.267 0.267 0.198
O: 0.072 0.072 0.784
Na: 0.493 0.493 0.522
Sm: 0.668 0.668 0.997

Calculated values
final energy = -26.36 eV/cell
calculated density = 5.40 g cm⁻³
energy relative to the elements, uncorrected = -2.60 eV per atom

=====

# 2
First-principles (PBE-GGA) data for crystalline Na2SmSnO4 at its relaxed geometry, as listed in the Alexandria database.

abc: 3.497 5.954 5.985
angles: 109.45 90.00 90.00
Positions (direct):
Na: 0.000 0.500 0.500
Na: 0.500 0.000 0.500
O: 0.500 0.225 0.212
O: 0.000 0.260 0.784
O: 0.000 0.740 0.216
O: 0.500 0.775 0.788
Sn: 0.000 0.000 0.000
Sm: 0.500 0.500 0.000

Calculated values
final energy = -47.27 eV/cell
calculated density = 5.36 g cm⁻³
energy relative to the elements, uncorrected = -2.01 eV per atom

=====

# 3
First-principles (PBE-GGA) data for crystalline Na4Sm3SnO8 at its relaxed geometry, as listed in the Alexandria database.

abc: 6.996 6.934 6.996
angles: 120.28 120.00 90.00
Positions (direct):
Sm: 0.500 0.500 0.500
Sm: 0.500 0.500 0.000
Sm: 0.000 0.500 0.500
O: 0.738 0.713 0.475
O: 0.765 0.285 0.529
O: 0.235 0.715 0.471
O: 0.262 0.287 0.525
O: 0.765 0.285 0.020
O: 0.255 0.285 0.020
O: 0.235 0.715 0.980
O: 0.745 0.715 0.980
Na: 0.500 0.000 0.000
Na: 0.000 0.000 0.000
Na: 0.500 0.000 0.500
Na: 0.000 0.000 0.500
Sn: 0.000 0.500 0.000

Calculated values
final energy = -100.55 eV/cell
calculated density = 5.49 g cm⁻³
energy relative to the elements, uncorrected = -2.34 eV per atom

=====

# 4
First-principles (PBE-GGA) data for crystalline Na4SmTa3O12 at its relaxed geometry, as listed in the Alexandria database.

abc: 7.152 7.152 7.152
angles: 109.47 109.47 109.47
Positions (direct):
Na: 0.000 0.500 0.000
Na: 0.500 0.000 0.000
Na: 0.000 0.000 0.500
Na: 0.500 0.500 0.500
Ta: 0.000 0.500 0.500
Ta: 0.500 0.500 0.000
Ta: 0.500 0.000 0.500
O: 0.000 0.269 0.269
O: 0.731 0.731 0.000
O: 0.250 0.750 0.500
O: 0.269 0.000 0.269
O: 0.750 0.500 0.250
O: 0.750 0.250 0.500
O: 0.269 0.269 0.000
O: 0.731 0.000 0.731
O: 0.250 0.500 0.750
O: 0.000 0.731 0.731
O: 0.500 0.750 0.250
O: 0.500 0.250 0.750
Sm: 0.000 0.000 0.000

Calculated values
final energy = -152.48 eV/cell
calculated density = 5.76 g cm⁻³
energy relative to the elements, uncorrected = -2.37 eV per atom

=====

# 5
First-principles (PBE-GGA) data for crystalline NaSm2TaO6 at its relaxed geometry, as listed in the Alexandria database.

abc: 5.776 5.776 6.013
angles: 61.30 61.29 60.00
Positions (direct):
O: 0.975 0.571 0.239
O: 0.676 0.140 0.775
O: 0.409 0.676 0.775
O: 0.571 0.216 0.239
O: 0.216 0.975 0.239
O: 0.140 0.409 0.775
Sm: 0.027 0.027 0.920
Sm: 0.529 0.529 0.414
Na: 0.803 0.803 0.591
Ta: 0.317 0.317 0.048

Calculated values
final energy = -82.63 eV/cell
calculated density = 6.90 g cm⁻³
energy relative to the elements, uncorrected = -3.03 eV per atom

=====

# 6
First-principles (PBE-GGA) data for crystalline Na3Tb2SmO6 at its relaxed geometry, as listed in the Alexandria database.

abc: 6.026 6.026 5.950
angles: 99.71 99.71 120.01
Positions (direct):
O: 0.409 0.071 0.212
O: 0.071 0.409 0.212
O: 0.591 0.929 0.788
O: 0.929 0.591 0.788
O: 0.732 0.732 0.213
O: 0.268 0.268 0.787
Na: 0.169 0.831 0.500
Na: 0.500 0.500 0.500
Na: 0.831 0.169 0.500
Tb: 0.333 0.667 0.000
Tb: 0.667 0.333 0.000
Sm: 0.000 0.000 0.000

Calculated values
final energy = -80.60 eV/cell
calculated density = 5.97 g cm⁻³
energy relative to the elements, uncorrected = -2.74 eV per atom